1.
The following is a GGA-PBE calculation of a geometry-optimized LiThGaIr structure, from Alexandria.

```
4
Lattice="0.0000 3.3566 3.3566 3.3566 0.0000 3.3566 3.3566 3.3566 0.0000" Properties=species:S:1:pos:R:3 pbc="T T T"
Li 0.0000 0.0000 0.0000
Th 1.6783 1.6783 1.6783
Ga 5.0349 5.0349 5.0349
Ir 3.3566 3.3566 3.3566
```

The calculation puts the final energy at -23.4 eV/cell.

2.
The following is a GGA-PBE calculation of a geometry-optimized LiTmGa4Ir2 structure, from Alexandria.

```
8
Lattice="2.2002 1.2703 7.5033 -2.2002 1.2703 7.5033 0.0000 -2.5405 7.5033" Properties=species:S:1:pos:R:3 pbc="T T T"
Li 0.0000 0.0000 0.0000
Tm 0.0000 0.0000 11.2550
Ga 0.0000 0.0000 2.5028
Ga 0.0000 0.0000 8.2827
Ga 0.0000 0.0000 14.2273
Ga 0.0000 0.0000 20.0071
Ir 0.0000 0.0000 5.6516
Ir 0.0000 0.0000 16.8584
```

The calculation puts the final energy at -40.7 eV/cell.

3.
The following is a GGA-PBE calculation of a geometry-optimized LiUGaIr structure, from Alexandria.

```
4
Lattice="0.0000 3.2595 3.2595 3.2595 0.0000 3.2595 3.2595 3.2595 0.0000" Properties=species:S:1:pos:R:3 pbc="T T T"
Li 0.0000 0.0000 0.0000
U 4.8893 4.8893 4.8893
Ga 1.6298 1.6298 1.6298
Ir 3.2595 3.2595 3.2595
```

The calculation puts the final energy at -26.1 eV/cell.

4.
The following is a GGA-PBE calculation of a geometry-optimized LiY2Ga4Ir3 structure, from Alexandria.

```
10
Lattice="4.0633 0.0000 0.0000 0.0000 4.0633 0.0000 0.0000 0.0000 11.0773" Properties=species:S:1:pos:R:3 pbc="T T T"
Li 0.0000 0.0000 0.0000
Y 0.0000 2.0316 8.2236
Y 2.0316 0.0000 2.8537
Ga 0.0000 0.0000 5.5386
Ga 0.0000 2.0316 1.4692
Ga 2.0316 0.0000 9.6081
Ga 2.0316 2.0316 5.5386
Ir 0.0000 2.0316 3.9827
Ir 2.0316 0.0000 7.0946
Ir 2.0316 2.0316 0.0000
```

The calculation puts the final energy at -59.9 eV/cell.

5.
The following is a GGA-PBE calculation of a geometry-optimized LiZrGaIr structure, from Alexandria.

```
4
Lattice="0.0000 3.1650 3.1650 3.1650 0.0000 3.1650 3.1650 3.1650 0.0000" Properties=species:S:1:pos:R:3 pbc="T T T"
Li 0.0000 0.0000 0.0000
Zr 1.5825 1.5825 1.5825
Ga 4.7474 4.7474 4.7474
Ir 3.1650 3.1650 3.1650
```

The calculation puts the final energy at -25.0 eV/cell.

6.
The following is a GGA-PBE calculation of a geometry-optimized Lu2GaIr structure, from Alexandria.

```
4
Lattice="3.4462 0.0000 0.0000 0.0000 3.4462 0.0000 0.0000 0.0000 6.8524" Properties=species:S:1:pos:R:3 pbc="T T T"
Lu 0.0000 0.0000 1.5953
Lu 0.0000 0.0000 5.2571
Ga 1.7231 1.7231 3.4262
Ir 1.7231 1.7231 0.0000
```

The calculation puts the final energy at -24.1 eV/cell.

7.
The following is a GGA-PBE calculation of a geometry-optimized LuGaIr structure, from Alexandria.

```
3
Lattice="4.4317 0.0000 0.0000 -2.2158 3.8380 0.0000 0.0000 0.0000 3.2571" Properties=species:S:1:pos:R:3 pbc="T T T"
Lu 0.0000 0.0000 0.0000
Ga 2.2158 1.2793 1.6285
Ir 0.0000 2.5586 1.6285
```

The calculation puts the final energy at -18.8 eV/cell.

8.
The following is a GGA-PBE calculation of a geometry-optimized LuGaIr structure, from Alexandria.

```
3
Lattice="-1.5836 1.5836 5.4066 1.5836 -1.5836 5.4066 1.5836 1.5836 -5.4066" Properties=species:S:1:pos:R:3 pbc="T T T"
Lu 0.0000 0.0000 0.0000
Ga 0.0000 0.0000 7.5691
Ir 0.0000 0.0000 3.5558
```

The calculation puts the final energy at -18.4 eV/cell.

9.
The following is a GGA-PBE calculation of a geometry-optimized LuGa2Ir structure, from Alexandria.

```
4
Lattice="2.1232 1.2258 4.6752 -2.1232 1.2258 4.6752 0.0000 -2.4517 4.6752" Properties=species:S:1:pos:R:3 pbc="T T T"
Lu 0.0000 0.0000 0.0000
Ga 0.0000 0.0000 3.0860
Ga 0.0000 0.0000 10.9398
Ir 0.0000 0.0000 7.0129
```

The calculation puts the final energy at -21.9 eV/cell.

10.
The following is a GGA-PBE calculation of a geometry-optimized LuGaIr2 structure, from Alexandria.

```
4
Lattice="3.2527 0.0000 0.0000 0.0000 3.2527 0.0000 0.0000 0.0000 6.2575" Properties=species:S:1:pos:R:3 pbc="T T T"
Lu 0.0000 0.0000 0.0000
Ga 0.0000 0.0000 3.1288
Ir 1.6264 1.6264 1.7171
Ir 1.6264 1.6264 4.5404
```

The calculation puts the final energy at -27.9 eV/cell.

11.
The following is a GGA-PBE calculation of a geometry-optimized LuGa2Ir structure, from Alexandria.

```
4
Lattice="0.0000 3.2252 3.2252 3.2252 0.0000 3.2252 3.2252 3.2252 0.0000" Properties=species:S:1:pos:R:3 pbc="T T T"
Lu 0.0000 0.0000 0.0000
Ga 1.6126 1.6126 1.6126
Ga 4.8378 4.8378 4.8378
Ir 3.2252 3.2252 3.2252
```

The calculation puts the final energy at -21.7 eV/cell.

12.
The following is a GGA-PBE calculation of a geometry-optimized LuGaIr2 structure, from Alexandria.

```
4
Lattice="4.2973 0.0000 0.0000 0.0000 4.2973 0.0000 0.0000 0.0000 3.5520" Properties=species:S:1:pos:R:3 pbc="T T T"
Lu 0.0000 0.0000 0.0000
Ga 2.1487 2.1487 0.0000
Ir 0.0000 2.1487 1.7760
Ir 2.1487 0.0000 1.7760
```

The calculation puts the final energy at -28.1 eV/cell.

no.,total magnetic moment (μB/f.u.),DOS(E_F) (states/eV/cell)
1,0.00,4.5
2,0.00,2.3
3,1.65,7.9
4,0.00,6.3
5,0.00,3.3
6,0.00,1.6
7,0.00,1.3
8,0.00,1.2
9,0.00,3.1
10,0.00,1.9
11,0.00,1.3
12,0.00,0.5